The following is a DFT calculation (PBE) of a geometry-optimized Sr8AlGa2 structure.

Cell lengths 10.3835, 10.3835, 7.9990 Å; angles 108.88, 108.88, 31.99 degrees
Last column: nearest neighbours and their distance in Å.
Sites, in units of the cell vectors:
1 Sr 0.0318 0.0318 0.2909  1 Ga 3.32, 2 Al 3.48
2 Sr 0.1993 0.1993 0.8106  1 Ga 3.23
3 Sr 0.3292 0.3292 0.5365  3 Ga 3.26-3.61, 1 Al 3.52
4 Sr 0.4028 0.4028 0.0474  1 Al 3.48, 2 Ga 3.56, 6 Sr 3.85-3.90
5 Sr 0.5972 0.5972 0.9526  1 Al 3.48, 2 Ga 3.56, 6 Sr 3.85-3.90
6 Sr 0.6708 0.6708 0.4635  3 Ga 3.26-3.61, 1 Al 3.52
7 Sr 0.8007 0.8007 0.1894  1 Ga 3.23
8 Sr 0.9682 0.9682 0.7091  1 Ga 3.32, 2 Al 3.48
9 Al 0.5000 0.5000 0.5000  8 Sr 3.48-3.52
10 Ga 0.1815 0.1815 0.1976  7 Sr 3.23-3.61
11 Ga 0.8185 0.8185 0.8024  7 Sr 3.23-3.61

Energy relative to the elements, eV per atom: -0.171
VASP energy, eV per atom: -2.28